## P
First-principles (PBEsol) data for a relaxed structure of CrReAu2, as listed in Alexandria.

The structure in CIF format:
```
data_CrReAu2
_chemical_formula_sum 'Cr1 Re1 Au2'
_cell_length_a 4.642
_cell_length_b 4.642
_cell_length_c 2.931
_cell_angle_alpha 90.00
_cell_angle_beta 90.00
_cell_angle_gamma 90.00
_space_group_name_H-M_alt 'P 4/m m m'
_space_group_IT_number 123
_space_group_name_Hall '-P 4 2'
loop_
_atom_site_label
_atom_site_fract_x
_atom_site_fract_y
_atom_site_fract_z
_atom_site_occupancy
Cr1 0.000 0.000 0.000 1
Re1 0.500 0.500 0.000 1
Au1 0.000 0.500 0.500 1
```

total magnetic moment = 0.79 μB per atom


## Q
First-principles (PBEsol) data for a relaxed structure of CrReAu2, as listed in Alexandria.

The structure in CIF format:
```
data_CrReAu2
_chemical_formula_sum 'Cr1 Re1 Au2'
_cell_length_a 3.812
_cell_length_b 3.812
_cell_length_c 4.139
_cell_angle_alpha 90.00
_cell_angle_beta 90.00
_cell_angle_gamma 90.00
_space_group_name_H-M_alt 'P 4/m m m'
_space_group_IT_number 123
_space_group_name_Hall '-P 4 2'
loop_
_atom_site_label
_atom_site_fract_x
_atom_site_fract_y
_atom_site_fract_z
_atom_site_occupancy
Cr1 0.000 0.000 0.000 1
Re1 0.500 0.500 0.000 1
Au1 0.000 0.500 0.500 1
```

total magnetic moment = 0.31 μB per atom


It turns out Q is the most stable, with the second structure 12.2 kJ/mol of atoms higher.


## P
First-principles (PBEsol) data for a relaxed structure of MgZn2Cd, as listed in Alexandria.

The structure in CIF format:
```
data_MgZn2Cd
_chemical_formula_sum 'Mg2 Zn4 Cd2'
_cell_length_a 9.190
_cell_length_b 3.022
_cell_length_c 5.187
_cell_angle_alpha 90.00
_cell_angle_beta 101.20
_cell_angle_gamma 90.00
_space_group_name_H-M_alt 'C 1 2/m 1'
_space_group_IT_number 12
_space_group_name_Hall '-C 2y'
loop_
_atom_site_label
_atom_site_fract_x
_atom_site_fract_y
_atom_site_fract_z
_atom_site_occupancy
Mg1 0.000 0.000 0.000 1
Zn1 0.249 0.500 0.246 1
Cd1 0.000 0.500 0.500 1
```

total magnetic moment = 0.00 μB per atom


## Q
First-principles (PBEsol) data for a relaxed structure of MgZn2Cd, as listed in Alexandria.

The structure in CIF format:
```
data_MgZn2Cd
_chemical_formula_sum 'Mg2 Zn4 Cd2'
_cell_length_a 4.136
_cell_length_b 4.136
_cell_length_c 8.140
_cell_angle_alpha 90.00
_cell_angle_beta 90.00
_cell_angle_gamma 90.00
_space_group_name_H-M_alt 'I 4/m m m'
_space_group_IT_number 139
_space_group_name_Hall '-I 4 2'
loop_
_atom_site_label
_atom_site_fract_x
_atom_site_fract_y
_atom_site_fract_z
_atom_site_occupancy
Mg1 0.000 0.000 0.000 1
Zn1 0.000 0.500 0.250 1
Cd1 0.000 0.000 0.500 1
```

total magnetic moment = 0.00 μB per atom


It turns out Q is the most stable, with the second structure 2.4 kJ/mol of atoms higher.